[1]
## TmScCrC2 (PBE)

Data for TmScCrC2 after structural relaxation.

The total energy is -0.2984 Ha/atom.

It has space group C2/m (No. 12), with a = 13.3932 Å, b = 3.2756 Å, c = 8.5155 Å, α = 90.00°, β = 129.19° and γ = 90.00°. The inequivalent atoms are Tm at (0.1664, 0.0000, 0.2620), Sc at (0.1223, 0.5000, 0.8436), Cr at (0.0897, 0.0000, 0.5228), C at (0.1067, 0.5000, 0.4112) and C at (0.2259, 0.0000, 0.8067).

[2]
## LiPaSe3 (PBE)

Data for LiPaSe3 after structural relaxation.

The value obtained for the uncorrected formation energy is -1.241 eV per atom. As for the energy above the most stable polymorph in this dataset: 65 meV/atom.

It has space group Pnma (No. 62), with a = 7.6470 Å, b = 10.6540 Å, c = 7.1078 Å, α = 90.00°, β = 90.00° and γ = 90.00°. The inequivalent atoms are Li at (0.1665, 0.2500, 0.0486), Pa at (0.0000, 0.0000, 0.5000), Se at (0.0101, 0.2500, 0.3765) and Se at (0.1943, 0.0593, 0.8181).

[3]
## InTcNiPb2 (PBE)

Data for InTcNiPb2 after structural relaxation.

As for the energy above the most stable polymorph in this dataset: 0 meV/atom.

It has space group P4/mmm (No. 123), with a = 5.0902 Å, b = 5.0902 Å, c = 4.8922 Å, α = 90.00°, β = 90.00° and γ = 90.00°. The inequivalent atoms are In at (0.0000, 0.0000, 0.0000), Tc at (0.5000, 0.5000, 0.0000), Ni at (0.0000, 0.0000, 0.5000) and Pb at (0.0000, 0.5000, 0.5000).

[4]
## NaY2Os2 (PBE)

Data for NaY2Os2 after structural relaxation.

The total energy is -0.2600 Ha/atom.

It has space group P4/mbm (No. 127), with a = 8.2167 Å, b = 8.2167 Å, c = 3.3984 Å, α = 90.00°, β = 90.00° and γ = 90.00°. The inequivalent atoms are Na at (0.0000, 0.0000, 0.0000), Y at (0.1841, 0.3159, 0.5000) and Os at (0.1042, 0.6042, 0.0000).

[5]
## TbSc2Zn2Ge2 (PBE)

Data for TbSc2Zn2Ge2 after structural relaxation.

The total energy is -0.1673 Ha/atom.

It has space group R-3m (No. 166, hexagonal axes), with a = 4.2772 Å, b = 4.2772 Å, c = 26.4449 Å, α = 90.00°, β = 90.00° and γ = 120.00°. The inequivalent atoms are Tb at (0.0000, 0.0000, 0.0000), Sc at (0.0000, 0.0000, 0.1325), Zn at (0.0000, 0.0000, 0.4024) and Ge at (0.0000, 0.0000, 0.2528).

[6]
## PmAsO2 (PBE)

Data for PmAsO2 after structural relaxation.

The value obtained for the uncorrected formation energy is -1.035 eV per atom.

It has space group R-3m (No. 166, hexagonal axes), with a = 3.4952 Å, b = 3.4952 Å, c = 19.8164 Å, α = 90.00°, β = 90.00° and γ = 120.00°. The inequivalent atoms are Pm at (0.0000, 0.0000, 0.0000), As at (0.0000, 0.0000, 0.5000) and O at (0.0000, 0.0000, 0.1150).